A relaxed structure of La2Zn3SnAu4, computed with GGA-PBE.

Values from the calculation:
As for the total DFT energy (no corrections): -3.6509 eV per atom. The calculation puts the total magnetic moment at 0.000 μB per cell. As for the energy of formation from the pure elements: -0.5720 eV/atom. As for the space group: P-4m2.

Cell lengths 4.4769, 4.4769, 11.0024 Å; angles 90.00, 90.00, 90.00 degrees
With the nearest neighbours (Å) after each atom.
Atoms (fractional coordinates):
La: 0.5000 0.0000 0.2439  8 Au 3.39-3.49, 6 Zn 3.43-3.60, 2 Sn 3.60
La: 0.0000 0.5000 0.7561  8 Au 3.39-3.49, 6 Zn 3.43-3.60, 2 Sn 3.60
Zn: 0.0000 0.0000 0.5000  4 Au 2.76
Zn: 0.5000 0.0000 0.8760  5 Au 2.53-2.62
Zn: 0.0000 0.5000 0.1240  5 Au 2.53-2.62
Sn: 0.5000 0.5000 0.5000  4 Au 2.76
Au: 0.5000 0.5000 0.0000  4 Zn 2.62
Au: 0.0000 0.0000 0.0000  4 Zn 2.62
Au: 0.5000 0.0000 0.6463  3 Zn 2.53-2.76, 2 Sn 2.76
Au: 0.0000 0.5000 0.3537  3 Zn 2.53-2.76, 2 Sn 2.76